[1]
This record from the Alexandria database describes a relaxed structure of ZrSc2Be. The functional is PBE-GGA.

Lattice parameters (Å, degrees): 3.233 4.340 5.852 90.00 100.09 90.00
Fractional positions:
Zr (0.000, 0.000, 0.000)
Sc (0.411, 0.500, 0.732)
Sc (0.589, 0.500, 0.268)
Be (0.000, 0.000, 0.500)

symmetry: P2/m, No. 10
E: -6.07 eV/atom
DOS(E_F): 1.04 states/eV/atom
energy relative to the elements: 0.1660 eV per atom
total moment: 0.0 μB per formula unit

***

[2]
This record from the Alexandria database describes a relaxed structure of Tm2Ge2AsRh5. The functional is PBE-GGA.

Lattice parameters (Å, degrees): 9.692 9.692 3.578 90.00 90.00 90.00
Fractional positions:
Tm (0.174, 0.326, 0.000)
Tm (0.326, 0.826, 0.000)
Tm (0.674, 0.174, 0.000)
Tm (0.826, 0.674, 0.000)
Ge (0.124, 0.624, 0.000)
Ge (0.376, 0.124, 0.000)
Ge (0.624, 0.876, 0.000)
Ge (0.876, 0.376, 0.000)
As (0.000, 0.000, 0.000)
As (0.500, 0.500, 0.000)
Rh (0.000, 0.500, 0.500)
Rh (0.067, 0.794, 0.500)
Rh (0.206, 0.067, 0.500)
Rh (0.294, 0.567, 0.500)
Rh (0.433, 0.294, 0.500)
Rh (0.500, 0.000, 0.500)
Rh (0.567, 0.706, 0.500)
Rh (0.706, 0.433, 0.500)
Rh (0.794, 0.933, 0.500)
Rh (0.933, 0.206, 0.500)

symmetry: P4/mbm, No. 127
E: -6.71 eV/atom
DOS(E_F): 0.70 states/eV/atom
energy relative to the elements: -0.7538 eV per atom
total moment: 0.0 μB per formula unit

***

[3]
This record from the Alexandria database describes a relaxed structure of Ca4TlAg. The functional is PBE-GGA.

Lattice parameters (Å, degrees): 3.865 3.865 12.937 90.00 90.00 90.00
Fractional positions:
Ca (0.000, 0.000, 0.135)
Ca (0.000, 0.000, 0.865)
Ca (0.500, 0.500, 0.354)
Ca (0.500, 0.500, 0.646)
Tl (0.000, 0.000, 0.500)
Ag (0.500, 0.500, 0.000)

symmetry: P4/mmm, No. 123
E: -2.46 eV/atom
DOS(E_F): 0.69 states/eV/atom
energy relative to the elements: -0.2586 eV per atom
total moment: 0.0 μB per formula unit

***

[4]
This record from the Alexandria database describes a relaxed structure of AcTlTc2O8. The functional is PBE-GGA.

Lattice parameters (Å, degrees): 6.225 6.225 7.987 90.00 90.00 120.00
Fractional positions:
Ac (0.000, 0.000, 0.000)
Tl (0.000, 0.000, 0.500)
Tc (0.333, 0.667, 0.277)
Tc (0.667, 0.333, 0.723)
O (0.176, 0.353, 0.199)
O (0.176, 0.824, 0.199)
O (0.333, 0.667, 0.496)
O (0.353, 0.176, 0.801)
O (0.647, 0.824, 0.199)
O (0.667, 0.333, 0.504)
O (0.824, 0.176, 0.801)
O (0.824, 0.647, 0.801)

symmetry: P-3m1, No. 164
E: -7.32 eV/atom
DOS(E_F): 0.81 states/eV/atom
ΔE_f (raw): -1745 meV per atom
total moment: 2.0 μB per formula unit

***

[5]
This record from the Alexandria database describes a relaxed structure of Rb12LiCl4O4. The functional is PBE-GGA.

Lattice parameters (Å, degrees): 7.758 10.544 8.632 90.00 97.32 90.00
Fractional positions:
Rb (0.000, 0.000, 0.000)
Rb (0.057, 0.304, 0.737)
Rb (0.057, 0.696, 0.737)
Rb (0.100, 0.287, 0.278)
Rb (0.100, 0.713, 0.278)
Rb (0.212, 0.000, 0.515)
Rb (0.436, 0.500, 0.605)
Rb (0.545, 0.190, 0.878)
Rb (0.545, 0.810, 0.878)
Rb (0.609, 0.213, 0.403)
Rb (0.609, 0.787, 0.403)
Rb (0.710, 0.500, 0.102)
Li (0.728, 0.000, 0.174)
Cl (0.281, 0.500, 0.020)
Cl (0.385, 0.000, 0.170)
Cl (0.812, 0.000, 0.649)
Cl (0.845, 0.500, 0.468)
O (0.315, 0.250, 0.579)
O (0.315, 0.750, 0.579)
O (0.799, 0.168, 0.141)
O (0.799, 0.832, 0.141)

symmetry: Pm, No. 6
E: -3.20 eV/atom
DOS(E_F): 0.13 states/eV/atom
ΔE_f (raw): -1260 meV per atom
total moment: 0.4 μB per formula unit

***

[6]
This record from the Alexandria database describes a relaxed structure of P2C. The functional is PBE-GGA.

Lattice parameters (Å, degrees): 2.829 2.829 5.771 90.00 90.00 90.00
Fractional positions:
P (0.000, 0.500, 0.208)
P (0.500, 0.000, 0.792)
C (0.500, 0.500, 0.000)

symmetry: P-4m2, No. 115
E: -6.25 eV/atom
DOS(E_F): 0.40 states/eV/atom
energy relative to the elements: 0.4305 eV per atom
total moment: 0.0 μB per formula unit

***

[7]
This record from the Alexandria database describes a relaxed structure of Al4SiRu5. The functional is PBE-GGA.

Lattice parameters (Å, degrees): 2.985 2.985 14.983 90.00 90.00 90.00
Fractional positions:
Al (0.000, 0.000, 0.101)
Al (0.000, 0.000, 0.301)
Al (0.000, 0.000, 0.699)
Al (0.000, 0.000, 0.899)
Si (0.000, 0.000, 0.500)
Ru (0.500, 0.500, 0.000)
Ru (0.500, 0.500, 0.202)
Ru (0.500, 0.500, 0.407)
Ru (0.500, 0.500, 0.593)
Ru (0.500, 0.500, 0.798)

symmetry: P4/mmm, No. 123
E: -7.36 eV/atom
DOS(E_F): 0.84 states/eV/atom
ΔE_f (raw): -682 meV per atom
total moment: 0.0 μB per formula unit

***

[8]
This record from the Alexandria database describes a relaxed structure of TiAsAu2. The functional is PBE-GGA.

Lattice parameters (Å, degrees): 5.949 5.949 5.949 101.55 101.55 126.84
Fractional positions:
Ti (0.000, 0.000, 0.000)
Ti (0.750, 0.250, 0.500)
As (0.250, 0.750, 0.500)
As (0.500, 0.500, 0.000)
Au (0.139, 0.625, 0.014)
Au (0.375, 0.389, 0.514)
Au (0.611, 0.125, 0.986)
Au (0.875, 0.861, 0.486)

symmetry: I-42d, No. 122
E: -4.90 eV/atom
DOS(E_F): 1.04 states/eV/atom
energy relative to the elements: -0.1252 eV per atom
total moment: 0.0 μB per formula unit

***

[9]
This record from the Alexandria database describes a relaxed structure of Li4SnPd. The functional is PBE-GGA.

Lattice parameters (Å, degrees): 8.279 8.279 4.532 90.04 90.04 141.90
Fractional positions:
Li (0.040, 0.455, 0.250)
Li (0.204, 0.285, 0.248)
Li (0.285, 0.204, 0.748)
Li (0.455, 0.040, 0.750)
Li (0.545, 0.960, 0.250)
Li (0.715, 0.796, 0.252)
Li (0.796, 0.715, 0.752)
Li (0.960, 0.545, 0.750)
Sn (0.372, 0.628, 0.750)
Sn (0.628, 0.372, 0.250)
Pd (0.121, 0.879, 0.250)
Pd (0.879, 0.121, 0.750)

symmetry: C2/c, No. 15
E: -3.25 eV/atom
DOS(E_F): 0.18 states/eV/atom
energy relative to the elements: -0.4444 eV per atom
total moment: 0.0 μB per formula unit

***

[10]
This record from the Alexandria database describes a relaxed structure of Co2Mo3. The functional is PBE-GGA.

Lattice parameters (Å, degrees): 4.058 4.058 5.178 90.00 90.00 120.00
Fractional positions:
Co (0.333, 0.667, 0.375)
Co (0.667, 0.333, 0.625)
Mo (0.000, 0.000, 0.500)
Mo (0.333, 0.667, 0.873)
Mo (0.667, 0.333, 0.127)

symmetry: P-3m1, No. 164
E: -8.88 eV/atom
DOS(E_F): 1.12 states/eV/atom
energy relative to the elements: 0.4575 eV per atom
total moment: 0.0 μB per formula unit

***

> Look up the DOS(E_F) of the ninth one.

0.18 states/eV/atom

***

> DOS(E_F) of number 7 (Al4SiRu5)?

0.84 states/eV/atom

***

Repeat the fourth record exactly.
This record from the Alexandria database describes a relaxed structure of AcTlTc2O8. The functional is PBE-GGA.

Lattice parameters (Å, degrees): 6.225 6.225 7.987 90.00 90.00 120.00
Fractional positions:
Ac (0.000, 0.000, 0.000)
Tl (0.000, 0.000, 0.500)
Tc (0.333, 0.667, 0.277)
Tc (0.667, 0.333, 0.723)
O (0.176, 0.353, 0.199)
O (0.176, 0.824, 0.199)
O (0.333, 0.667, 0.496)
O (0.353, 0.176, 0.801)
O (0.647, 0.824, 0.199)
O (0.667, 0.333, 0.504)
O (0.824, 0.176, 0.801)
O (0.824, 0.647, 0.801)

symmetry: P-3m1, No. 164
E: -7.32 eV/atom
DOS(E_F): 0.81 states/eV/atom
ΔE_f (raw): -1745 meV per atom
total moment: 2.0 μB per formula unit

***

What did the ninth record say?
This record from the Alexandria database describes a relaxed structure of Li4SnPd. The functional is PBE-GGA.

Lattice parameters (Å, degrees): 8.279 8.279 4.532 90.04 90.04 141.90
Fractional positions:
Li (0.040, 0.455, 0.250)
Li (0.204, 0.285, 0.248)
Li (0.285, 0.204, 0.748)
Li (0.455, 0.040, 0.750)
Li (0.545, 0.960, 0.250)
Li (0.715, 0.796, 0.252)
Li (0.796, 0.715, 0.752)
Li (0.960, 0.545, 0.750)
Sn (0.372, 0.628, 0.750)
Sn (0.628, 0.372, 0.250)
Pd (0.121, 0.879, 0.250)
Pd (0.879, 0.121, 0.750)

symmetry: C2/c, No. 15
E: -3.25 eV/atom
DOS(E_F): 0.18 states/eV/atom
energy relative to the elements: -0.4444 eV per atom
total moment: 0.0 μB per formula unit